No. 1
# Nb2V3W2

Crystalline Nb2V3W2 at its relaxed geometry (GGA-PBE, the Alexandria database).

Lattice parameters (Å, degrees): 4.348 2.760 10.500 63.51 78.05 90.00
Fractional coordinates of all 7 atoms:
1 Nb 0.289 0.296 0.423
2 V 0.000 0.000 0.000
3 V 0.136 0.116 0.729
4 W 0.569 0.565 0.863
5 W 0.431 0.435 0.137
6 V 0.864 0.884 0.271
7 Nb 0.711 0.704 0.577

Values from the calculation:
ΔH_f (0 K) = -7 meV per atom
total magnetization = 0.0 μB per formula unit
raw total energy = -0.77122 Ry/atom

No. 2
# ZrCdCoIr

Crystalline ZrCdCoIr at its relaxed geometry (GGA-PBE, the Alexandria database).

Lattice parameters (Å, degrees): 4.536 4.536 4.536 60.00 60.00 60.00
Site moments in Bohr magnetons follow the coordinates.
Fractional coordinates of all 4 atoms:
1 Co 0.500 0.500 0.500  0.14
2 Zr 0.250 0.250 0.250  -0.03
3 Ir 0.000 0.000 0.000  0.00
4 Cd 0.750 0.750 0.750  -0.01

Values from the calculation:
ΔH_f (0 K) = -268 meV per atom
total magnetization = 0.1 μB per formula unit
raw total energy = -0.48694 Ry/atom

No. 3
# BaAlPb2

Crystalline BaAlPb2 at its relaxed geometry (GGA-PBE, the Alexandria database).

Lattice parameters (Å, degrees): 6.983 6.983 6.983 142.43 139.09 56.75
Fractional coordinates of all 4 atoms:
1 Al 0.522 0.522 0.000
2 Pb 0.680 0.180 0.500
3 Pb 0.010 0.010 0.000
4 Ba 0.289 0.789 0.500

Values from the calculation:
ΔH_f (0 K) = -175 meV per atom
total magnetization = 0.0 μB per formula unit
raw total energy = -0.25326 Ry/atom

No. 4
# BaNb2BrO

Crystalline BaNb2BrO at its relaxed geometry (GGA-PBE, the Alexandria database).

Lattice parameters (Å, degrees): 4.711 6.816 4.711 90.00 90.00 90.00
Site moments in Bohr magnetons follow the coordinates.
Fractional coordinates of all 5 atoms:
1 Nb 0.500 0.000 0.000  0.72
2 Nb 0.000 0.000 0.500  0.73
3 Br 0.000 0.000 0.000  0.00
4 O 0.500 0.500 0.500  0.57
5 Ba 0.000 0.500 0.000  0.03

Values from the calculation:
distance to the lowest polymorph of the same formula = 0.000 eV per atom
total magnetization = 2.7 μB per formula unit
energy relative to the elements, uncorrected = 0.91 eV/atom
raw total energy = -0.35461 Ry/atom

No. 5
# Dy12Tl3In

Crystalline Dy12Tl3In at its relaxed geometry (GGA-PBE, the Alexandria database).

Lattice parameters (Å, degrees): 4.844 4.844 19.398 90.00 90.00 90.00
Site moments in Bohr magnetons follow the coordinates.
Fractional coordinates of all 16 atoms:
1 Dy 0.500 0.000 0.124  0.15
2 Dy 0.500 0.000 0.876  0.15
3 Dy 0.000 0.500 0.124  0.15
4 In 0.000 0.000 0.000  -0.01
5 Dy 0.500 0.500 0.250  0.16
6 Dy 0.000 0.500 0.876  0.15
7 Dy 0.500 0.500 0.500  0.18
8 Dy 0.000 0.500 0.625  0.20
9 Dy 0.000 0.500 0.375  0.20
10 Tl 0.000 0.000 0.250  -0.01
11 Tl 0.000 0.000 0.500  -0.01
12 Dy 0.500 0.500 0.000  0.11
13 Dy 0.500 0.000 0.625  0.20
14 Tl 0.000 0.000 0.750  -0.01
15 Dy 0.500 0.000 0.375  0.20
16 Dy 0.500 0.500 0.750  0.16

Values from the calculation:
ΔH_f (0 K) = -201 meV per atom
total magnetization = 2.5 μB per formula unit
raw total energy = -0.31367 Ry/atom

No. 6
# LiCdHSe2

Crystalline LiCdHSe2 at its relaxed geometry (GGA-PBE, the Alexandria database).

Lattice parameters (Å, degrees): 5.211 5.550 5.211 90.00 90.00 90.00
Site moments in Bohr magnetons follow the coordinates.
Fractional coordinates of all 5 atoms:
1 Li 0.000 0.500 0.000  0.00
2 Cd 0.000 0.000 0.000  0.00
3 Se 0.500 0.000 0.000  0.04
4 H 0.500 0.500 0.500  0.37
5 Se 0.000 0.000 0.500  0.04

Values from the calculation:
total magnetization = 1.0 μB per formula unit
raw total energy = -0.15401 Ry/atom

No. 7
# FeBrN2

Crystalline FeBrN2 at its relaxed geometry (GGA-PBE, the Alexandria database).

Lattice parameters (Å, degrees): 6.285 6.285 6.285 27.75 27.75 27.75
Site moments in Bohr magnetons follow the coordinates.
Fractional coordinates of all 4 atoms:
1 N 0.886 0.886 0.886  0.07
2 N 0.114 0.114 0.114  0.07
3 Fe 0.500 0.500 0.500  2.06
4 Br 0.000 0.000 0.000  -0.04

Values from the calculation:
distance to the lowest polymorph of the same formula = 0.000 eV per atom
total magnetization = 2.2 μB per formula unit
energy relative to the elements, uncorrected = 0.80 eV/atom
raw total energy = -0.43375 Ry/atom

No. 8
# Dy2Al5Ag3

Crystalline Dy2Al5Ag3 at its relaxed geometry (GGA-PBE, the Alexandria database).

Lattice parameters (Å, degrees): 6.009 8.700 8.700 79.58 69.80 69.80
Fractional coordinates of all 20 atoms:
1 Ag 0.627 0.507 0.239
2 Al 0.495 0.755 0.755
3 Dy 0.128 0.617 0.127
4 Al 0.505 0.245 0.245
5 Ag 0.250 0.000 0.000
6 Al 0.618 0.739 0.025
7 Dy 0.628 0.127 0.617
8 Al 0.995 0.755 0.755
9 Al 0.118 0.025 0.739
10 Ag 0.873 0.761 0.493
11 Al 0.882 0.975 0.261
12 Al 0.382 0.261 0.975
13 Ag 0.373 0.493 0.761
14 Al 0.250 0.500 0.500
15 Ag 0.127 0.239 0.507
16 Dy 0.872 0.383 0.873
17 Ag 0.750 0.000 0.000
18 Dy 0.372 0.873 0.383
19 Al 0.750 0.500 0.500
20 Al 0.005 0.245 0.245

Values from the calculation:
ΔH_f (0 K) = -340 meV per atom
total magnetization = 0.0 μB per formula unit
raw total energy = -0.29307 Ry/atom

No. 9
# Pm3SmHo6Tm2

Crystalline Pm3SmHo6Tm2 at its relaxed geometry (GGA-PBE, the Alexandria database).

Lattice parameters (Å, degrees): 6.163 6.163 11.771 94.99 94.99 119.97
Fractional coordinates of all 12 atoms:
1 Ho 0.749 0.749 0.247
2 Pm 0.167 0.833 0.500
3 Pm 0.833 0.167 0.500
4 Ho 0.251 0.251 0.753
5 Ho 0.417 0.083 0.247
6 Ho 0.583 0.917 0.753
7 Pm 0.500 0.500 0.500
8 Ho 0.083 0.417 0.247
9 Sm 0.000 0.000 0.000
10 Tm 0.667 0.333 0.000
11 Ho 0.917 0.583 0.753
12 Tm 0.333 0.667 0.000

Values from the calculation:
ΔH_f (0 K) = 19 meV per atom
total magnetization = 0.0 μB per formula unit
raw total energy = -0.33782 Ry/atom

No. 10
# Ge2OsRuSe

Crystalline Ge2OsRuSe at its relaxed geometry (GGA-PBE, the Alexandria database).

Lattice parameters (Å, degrees): 4.755 4.879 4.755 90.00 90.00 90.00
Site moments in Bohr magnetons follow the coordinates.
Fractional coordinates of all 5 atoms:
1 Ge 0.500 0.000 0.000  -0.02
2 Ge 0.000 0.000 0.500  -0.03
3 Os 0.500 0.500 0.500  2.02
4 Ru 0.000 0.000 0.000  -0.23
5 Se 0.000 0.500 0.000  -0.12

Values from the calculation:
total magnetization = 1.7 μB per formula unit
energy relative to the elements, uncorrected = 1.28 eV/atom
raw total energy = -0.39440 Ry/atom